#a
Computed, not measured: a relaxed KPuSb2 crystal at the PBE-GGA level of DFT.

Cell lengths 4.1452, 4.1452, 7.6501 Å; angles 90.00, 90.00, 90.00 degrees
Last column: magnetic moment on the atom in μB.
Sites, in units of the cell vectors:
Sb 0.0000 0.0000 0.8094  -0.04
K 0.5000 0.5000 0.5000  0.00
Sb 0.0000 0.0000 0.1906  -0.04
Pu 0.5000 0.5000 0.0000  5.32

Results
Crystal system: tetragonal

#b
Computed, not measured: a relaxed KPuSb2 crystal at the PBE-GGA level of DFT.

Cell lengths 4.6206, 4.6206, 8.5374 Å; angles 74.30, 74.30, 60.00 degrees
Last column: magnetic moment on the atom in μB.
Sites, in units of the cell vectors:
K 0.4974 0.4974 0.5077  -0.01
Pu 0.6679 0.6679 0.9963  5.01
Sb 0.2708 0.2708 0.1875  -0.08
Sb 0.0638 0.0638 0.8085  -0.08

Results
Crystal system: trigonal

#c
Computed, not measured: a relaxed KPuSb2 crystal at the PBE-GGA level of DFT.

Cell lengths 4.7044, 4.7044, 8.2377 Å; angles 73.41, 73.41, 60.00 degrees
Last column: magnetic moment on the atom in μB.
Sites, in units of the cell vectors:
K 0.5000 0.5000 0.5000  -0.01
Pu 0.0000 0.0000 0.0000  5.02
Sb 0.7286 0.7286 0.8142  -0.08
Sb 0.2714 0.2714 0.1858  -0.08

Results
Crystal system: trigonal

Quick one: most stable of them? #a

#a
Computed, not measured: a relaxed KPuTl2 crystal at the PBE-GGA level of DFT.

Cell lengths 3.5676, 3.5676, 11.7161 Å; angles 81.24, 81.24, 60.00 degrees
Last column: magnetic moment on the atom in μB.
Sites, in units of the cell vectors:
Pu 0.0000 0.0000 0.0000  5.68
Tl 0.2542 0.2542 0.2373  0.02
Tl 0.7458 0.7458 0.7627  0.02
K 0.5000 0.5000 0.5000  0.00

Results
Crystal system: trigonal

#b
Computed, not measured: a relaxed KPuTl2 crystal at the PBE-GGA level of DFT.

Cell lengths 3.5680, 5.9038, 5.9038 Å; angles 90.00, 90.00, 90.00 degrees
Last column: magnetic moment on the atom in μB.
Sites, in units of the cell vectors:
Tl 0.0000 0.5000 0.0000  0.00
Tl 0.0000 0.0000 0.5000  0.00
K 0.5000 0.0000 0.0000  -0.01
Pu 0.5000 0.5000 0.5000  5.55

Results
Crystal system: tetragonal

#c
Computed, not measured: a relaxed KPuTl2 crystal at the PBE-GGA level of DFT.

Cell lengths 3.7315, 3.7315, 9.2706 Å; angles 90.00, 90.00, 90.00 degrees
Last column: magnetic moment on the atom in μB.
Sites, in units of the cell vectors:
K 0.5000 0.5000 0.5000  -0.01
Tl 0.0000 0.0000 0.7824  0.00
Pu 0.5000 0.5000 0.0000  5.51
Tl 0.0000 0.0000 0.2176  0.00

Results
Crystal system: tetragonal

Quick one: most stable of them? #c

#a
Computed, not measured: a relaxed K2Rb7 crystal at the PBE-GGA level of DFT.

Cell lengths 9.1121, 9.1121, 24.5365 Å; angles 79.30, 79.30, 60.00 degrees
Sites, in units of the cell vectors:
Rb 0.3822 0.3822 0.3454
Rb 0.5000 0.0000 0.0000
Rb 0.5000 0.5000 0.5000
Rb 0.2755 0.2755 0.1734
Rb 0.8902 0.3822 0.3454
Rb 0.0000 0.5000 0.0000
Rb 0.3915 0.3915 0.8256
Rb 0.1098 0.6178 0.6546
Rb 0.7245 0.7245 0.8266
K 0.0753 0.0753 0.7741
Rb 0.6178 0.1098 0.6546
Rb 0.6178 0.6178 0.6546
K 0.8463 0.8463 0.4611
Rb 0.3822 0.8902 0.3454
K 0.1537 0.1537 0.5389
Rb 0.5000 0.5000 0.0000
Rb 0.6085 0.6085 0.1744
K 0.9247 0.9247 0.2259

Results
Crystal system: trigonal

#b
Computed, not measured: a relaxed K2Rb7 crystal at the PBE-GGA level of DFT.

Cell lengths 8.6120, 8.6120, 12.1190 Å; angles 90.00, 90.00, 120.00 degrees
Sites, in units of the cell vectors:
Rb 0.3357 0.3357 0.3295
Rb 0.0000 0.6643 0.3295
K 0.6667 0.3333 0.0000
Rb 0.6643 0.6643 0.6705
Rb 0.0000 0.0000 0.0000
Rb 0.6643 0.0000 0.3295
Rb 0.0000 0.3357 0.6705
K 0.3333 0.6667 0.0000
Rb 0.3357 0.0000 0.6705

Results
Crystal system: trigonal

Quick one: most stable of them? #b